This record from Alexandria describes crystalline Nb2FeCl2 at its relaxed geometry. The functional is PBE. Values from VASP.

```
&SYSTEM
  ibrav = 0, nat = 10, ntyp = 3
/
ATOMIC_SPECIES
Nb 92.91 Nb.upf
Fe 55.84 Fe.upf
Cl 35.45 Cl.upf
CELL_PARAMETERS angstrom
7.531 0.000 0.000
0.000 7.531 0.000
0.000 0.000 2.920
ATOMIC_POSITIONS angstrom
Nb 1.314 2.452 0.000
Nb 2.452 6.217 0.000
Nb 5.080 1.314 0.000
Nb 6.217 5.080 0.000
Fe 0.000 0.000 0.000
Fe 3.766 3.766 0.000
Cl 0.975 4.741 1.460
Cl 2.791 0.975 1.460
Cl 4.741 6.556 1.460
Cl 6.556 2.791 1.460
```

Calculated values
Polymorph energy (0 for the lowest one): 206 meV/atom
Formation energy without anion corrections: 0.512 eV per atom
Space group: No. 127
ρ: 6267 kg/m3
Electronic total energy: -29.74 eV/f.u.

***

This record from Alexandria describes crystalline Nb2FeCl2 at its relaxed geometry. The functional is PBE. Values from VASP.

```
&SYSTEM
  ibrav = 0, nat = 5, ntyp = 3
/
ATOMIC_SPECIES
Nb 92.91 Nb.upf
Fe 55.84 Fe.upf
Cl 35.45 Cl.upf
CELL_PARAMETERS angstrom
-1.958 1.958 6.071
1.958 -1.958 6.071
1.958 1.958 -6.071
ATOMIC_POSITIONS angstrom
Nb 0.000 0.000 1.264
Nb 0.000 0.000 10.877
Fe 0.000 0.000 6.071
Cl 1.958 0.000 3.035
Cl 0.000 1.958 3.035
```

Calculated values
Polymorph energy (0 for the lowest one): 0 meV/atom
Formation energy without anion corrections: 0.306 eV per atom
Space group: No. 139
ρ: 5573 kg/m3
Electronic total energy: -30.77 eV/f.u.

***

This record from Alexandria describes crystalline NbFe2Cl8 at its relaxed geometry. The functional is PBE. Values from VASP.

```
&SYSTEM
  ibrav = 0, nat = 11, ntyp = 3
/
ATOMIC_SPECIES
Nb 92.91 Nb.upf
Fe 55.84 Fe.upf
Cl 35.45 Cl.upf
CELL_PARAMETERS angstrom
6.990 -3.958 0.000
6.990 3.958 0.000
-0.032 0.000 5.962
ATOMIC_POSITIONS angstrom
Nb 0.000 0.000 0.000
Fe 2.111 0.000 2.178
Fe 11.836 0.000 3.783
Cl 1.929 0.000 4.481
Cl 5.921 2.137 4.625
Cl 4.225 0.000 1.745
Cl 8.027 2.137 1.337
Cl 5.921 -2.137 4.625
Cl 9.722 0.000 4.217
Cl 8.027 -2.137 1.337
Cl 12.019 0.000 1.481
```

Calculated values
Formation energy without anion corrections: -0.928 eV per atom
Space group: No. 12
ρ: 2457 kg/m3
Electronic total energy: -51.97 eV/f.u.

***

This record from Alexandria describes crystalline NbFeCl2 at its relaxed geometry. The functional is PBE. Values from VASP.

```
&SYSTEM
  ibrav = 0, nat = 8, ntyp = 3
/
ATOMIC_SPECIES
Nb 92.91 Nb.upf
Fe 55.84 Fe.upf
Cl 35.45 Cl.upf
CELL_PARAMETERS angstrom
-2.754 2.754 5.224
2.754 -2.754 5.224
2.754 2.754 -5.224
ATOMIC_POSITIONS angstrom
Nb 0.000 0.000 0.000
Nb 0.000 2.754 2.612
Fe 2.754 0.000 2.612
Fe 0.000 0.000 5.224
Cl 1.377 -1.171 3.918
Cl 1.582 1.377 1.306
Cl 1.377 3.925 -1.306
Cl 1.171 1.377 6.530
```

Calculated values
Polymorph energy (0 for the lowest one): 457 meV/atom
Formation energy without anion corrections: 0.379 eV per atom
Space group: No. 122
ρ: 4605 kg/m3
Electronic total energy: -20.71 eV/f.u.

***

This record from Alexandria describes crystalline NbFeCl2 at its relaxed geometry. The functional is PBE. Values from VASP.

```
&SYSTEM
  ibrav = 0, nat = 4, ntyp = 3
/
ATOMIC_SPECIES
Nb 92.91 Nb.upf
Fe 55.84 Fe.upf
Cl 35.45 Cl.upf
CELL_PARAMETERS angstrom
0.000 3.059 3.059
3.059 0.000 3.059
3.059 3.059 0.000
ATOMIC_POSITIONS angstrom
Nb 0.000 0.000 0.000
Fe 3.059 3.059 3.059
Cl 1.529 1.529 1.529
Cl 4.588 4.588 4.588
```

Calculated values
Polymorph energy (0 for the lowest one): 640 meV/atom
Formation energy without anion corrections: 0.562 eV per atom
Space group: No. 225
ρ: 6372 kg/m3
Electronic total energy: -19.98 eV/f.u.

***

This record from Alexandria describes crystalline Nb2FeCl at its relaxed geometry. The functional is PBE. Values from VASP.

```
&SYSTEM
  ibrav = 0, nat = 8, ntyp = 3
/
ATOMIC_SPECIES
Nb 92.91 Nb.upf
Fe 55.84 Fe.upf
Cl 35.45 Cl.upf
CELL_PARAMETERS angstrom
-3.282 3.282 3.118
3.282 -3.282 3.118
3.282 3.282 -3.118
ATOMIC_POSITIONS angstrom
Nb 4.923 1.619 -0.779
Nb 1.619 1.641 0.779
Nb -1.641 1.663 2.338
Nb 1.663 1.641 3.897
Fe 0.000 0.000 0.000
Fe 0.000 3.282 1.559
Cl 3.282 0.000 1.559
Cl 0.000 0.000 3.118
```

Calculated values
Polymorph energy (0 for the lowest one): 60 meV/atom
Formation energy without anion corrections: 0.502 eV per atom
Space group: No. 122
ρ: 6850 kg/m3
Electronic total energy: -28.44 eV/f.u.

***

What did the fifth record say?
This record from Alexandria describes crystalline NbFeCl2 at its relaxed geometry. The functional is PBE. Values from VASP.

```
&SYSTEM
  ibrav = 0, nat = 4, ntyp = 3
/
ATOMIC_SPECIES
Nb 92.91 Nb.upf
Fe 55.84 Fe.upf
Cl 35.45 Cl.upf
CELL_PARAMETERS angstrom
0.000 3.059 3.059
3.059 0.000 3.059
3.059 3.059 0.000
ATOMIC_POSITIONS angstrom
Nb 0.000 0.000 0.000
Fe 3.059 3.059 3.059
Cl 1.529 1.529 1.529
Cl 4.588 4.588 4.588
```

Calculated values
Polymorph energy (0 for the lowest one): 640 meV/atom
Formation energy without anion corrections: 0.562 eV per atom
Space group: No. 225
ρ: 6372 kg/m3
Electronic total energy: -19.98 eV/f.u.

***

What is the formula in the fourth record? NbFeCl2

***

formation energy without anion corrections of number 6 (Nb2FeCl)? 0.502 eV per atom

***

Which of these has the highest formation energy without anion corrections? number 5